(1)
Compound: ScTaPb2
Source: the Alexandria database
Functional: PBE
Structure: optimized geometry

Computed properties:
* D(E_F): 0.823 states/eV/atom
* E: -24.7 eV/f.u.
* calculated formation energy: 20.8 kJ per mole of atoms

Geometry as CIF:
```
data_ScTaPb2
_chemical_formula_sum 'Sc1 Ta1 Pb2'
_cell_length_a 3.909
_cell_length_b 3.909
_cell_length_c 6.100
_cell_angle_alpha 90.00
_cell_angle_beta 90.00
_cell_angle_gamma 90.00
_symmetry_space_group_name_H-M 'P 4 m m'
_symmetry_Int_Tables_number 99
loop_
_symmetry_equiv_pos_as_xyz
'x,y,z'
'-y,x,z'
'-x,-y,z'
'y,-x,z'
'-x,y,z'
'y,x,z'
'x,-y,z'
'-y,-x,z'
loop_
_atom_site_label
_atom_site_type_symbol
_atom_site_fract_x
_atom_site_fract_y
_atom_site_fract_z
_atom_site_occupancy
Sc1 Sc 0.000 0.000 0.000 1
Ta1 Ta 0.500 0.500 0.237 1
Pb1 Pb 0.000 0.000 0.469 1
Pb2 Pb 0.500 0.500 0.757 1
```

(2)
Compound: ScTaPb2
Source: the Alexandria database
Functional: PBE
Structure: optimized geometry

Computed properties:
* D(E_F): 0.769 states/eV/atom
* E: -24.7 eV/f.u.
* calculated formation energy: 22.4 kJ per mole of atoms

Geometry as CIF:
```
data_ScTaPb2
_chemical_formula_sum 'Sc1 Ta1 Pb2'
_cell_length_a 3.238
_cell_length_b 5.006
_cell_length_c 5.783
_cell_angle_alpha 90.00
_cell_angle_beta 91.87
_cell_angle_gamma 90.00
_symmetry_space_group_name_H-M 'P 1 2/m 1'
_symmetry_Int_Tables_number 10
loop_
_symmetry_equiv_pos_as_xyz
'x,y,z'
'-x,-y,-z'
'-x,y,-z'
'x,-y,z'
loop_
_atom_site_label
_atom_site_type_symbol
_atom_site_fract_x
_atom_site_fract_y
_atom_site_fract_z
_atom_site_occupancy
Sc1 Sc 0.000 0.000 0.000 1
Ta1 Ta 0.500 0.000 0.500 1
Pb1 Pb 0.279 0.500 0.748 1
```

(3)
Compound: ScTa4Pb
Source: the Alexandria database
Functional: PBE
Structure: optimized geometry

Computed properties:
* D(E_F): 1.187 states/eV/atom
* E: -55.5 eV/f.u.
* calculated formation energy: 30.8 kJ per mole of atoms

Geometry as CIF:
```
data_ScTa4Pb
_chemical_formula_sum 'Sc4 Ta16 Pb4'
_cell_length_a 7.942
_cell_length_b 7.942
_cell_length_c 7.942
_cell_angle_alpha 90.00
_cell_angle_beta 90.00
_cell_angle_gamma 90.00
_symmetry_space_group_name_H-M 'F -4 3 m'
_symmetry_Int_Tables_number 216
_symmetry_space_group_name_Hall 'F -4 2 3'
loop_
_atom_site_label
_atom_site_type_symbol
_atom_site_fract_x
_atom_site_fract_y
_atom_site_fract_z
_atom_site_occupancy
Sc1 Sc 0.000 0.000 0.000 1
Ta1 Ta 0.127 0.127 0.627 1
Pb1 Pb 0.250 0.250 0.250 1
```

(4)
Compound: ScTaPb2
Source: the Alexandria database
Functional: PBE
Structure: optimized geometry

Computed properties:
* D(E_F): 0.562 states/eV/atom
* E: -24.6 eV/f.u.
* calculated formation energy: 23.4 kJ per mole of atoms

Geometry as CIF:
```
data_ScTaPb2
_chemical_formula_sum 'Sc2 Ta2 Pb4'
_cell_length_a 6.537
_cell_length_b 9.941
_cell_length_c 3.245
_cell_angle_alpha 90.00
_cell_angle_beta 117.66
_cell_angle_gamma 90.00
_symmetry_space_group_name_H-M 'C 1 2/m 1'
_symmetry_Int_Tables_number 12
loop_
_symmetry_equiv_pos_as_xyz
'x,y,z'
'-x,-y,-z'
'-x,y,-z'
'x,-y,z'
'x+1/2,y+1/2,z'
'-x+1/2,-y+1/2,-z'
'-x+1/2,y+1/2,-z'
'x+1/2,-y+1/2,z'
loop_
_atom_site_label
_atom_site_type_symbol
_atom_site_fract_x
_atom_site_fract_y
_atom_site_fract_z
_atom_site_occupancy
Sc1 Sc 0.000 0.000 0.000 1
Ta1 Ta 0.000 0.500 0.000 1
Pb1 Pb 0.250 0.250 0.500 1
```

(5)
Compound: Sc4TaPb
Source: the Alexandria database
Functional: PBE
Structure: optimized geometry

Computed properties:
* D(E_F): 0.785 states/eV/atom
* E: -38.7 eV/f.u.
* calculated formation energy: 34.6 kJ per mole of atoms

Geometry as CIF:
```
data_Sc4TaPb
_chemical_formula_sum 'Sc16 Ta4 Pb4'
_cell_length_a 8.148
_cell_length_b 8.148
_cell_length_c 8.148
_cell_angle_alpha 90.00
_cell_angle_beta 90.00
_cell_angle_gamma 90.00
_symmetry_space_group_name_H-M 'F -4 3 m'
_symmetry_Int_Tables_number 216
_symmetry_space_group_name_Hall 'F -4 2 3'
loop_
_atom_site_label
_atom_site_type_symbol
_atom_site_fract_x
_atom_site_fract_y
_atom_site_fract_z
_atom_site_occupancy
Sc1 Sc 0.123 0.123 0.123 1
Ta1 Ta 0.250 0.250 0.750 1
Pb1 Pb 0.000 0.000 0.500 1
```

(6)
Compound: ScTaPb2
Source: the Alexandria database
Functional: PBE
Structure: optimized geometry

Computed properties:
* D(E_F): 0.570 states/eV/atom
* E: -24.7 eV/f.u.
* calculated formation energy: 20.8 kJ per mole of atoms

Geometry as CIF:
```
data_ScTaPb2
_chemical_formula_sum 'Sc2 Ta2 Pb4'
_cell_length_a 11.451
_cell_length_b 3.165
_cell_length_c 5.253
_cell_angle_alpha 90.00
_cell_angle_beta 100.42
_cell_angle_gamma 90.00
_symmetry_space_group_name_H-M 'C 1 m 1'
_symmetry_Int_Tables_number 8
loop_
_symmetry_equiv_pos_as_xyz
'x,y,z'
'x,-y,z'
'x+1/2,y+1/2,z'
'x+1/2,-y+1/2,z'
loop_
_atom_site_label
_atom_site_type_symbol
_atom_site_fract_x
_atom_site_fract_y
_atom_site_fract_z
_atom_site_occupancy
Sc1 Sc 0.000 0.000 0.000 1
Ta1 Ta 0.282 0.000 0.737 1
Pb1 Pb 0.034 0.500 0.526 1
Pb2 Pb 0.259 0.500 0.219 1
```

(7)
Compound: ScTaPb2
Source: the Alexandria database
Functional: PBE
Structure: optimized geometry

Computed properties:
* D(E_F): 0.889 states/eV/atom
* E: -24.6 eV/f.u.
* calculated formation energy: 25.2 kJ per mole of atoms

Geometry as CIF:
```
data_ScTaPb2
_chemical_formula_sum 'Sc1 Ta1 Pb2'
_cell_length_a 3.225
_cell_length_b 5.153
_cell_length_c 5.882
_cell_angle_alpha 90.00
_cell_angle_beta 104.64
_cell_angle_gamma 90.00
_symmetry_space_group_name_H-M 'P 1 m 1'
_symmetry_Int_Tables_number 6
loop_
_symmetry_equiv_pos_as_xyz
'x,y,z'
'x,-y,z'
loop_
_atom_site_label
_atom_site_type_symbol
_atom_site_fract_x
_atom_site_fract_y
_atom_site_fract_z
_atom_site_occupancy
Sc1 Sc 0.000 0.000 0.000 1
Ta1 Ta 0.833 0.500 0.285 1
Pb1 Pb 0.347 0.500 0.801 1
Pb2 Pb 0.590 0.000 0.468 1
```

(8)
Compound: ScTaPb3
Source: the Alexandria database
Functional: PBE
Structure: optimized geometry

Computed properties:
* D(E_F): 1.844 states/eV/atom
* E: -25.8 eV/f.u.
* calculated formation energy: 67.6 kJ per mole of atoms

Geometry as CIF:
```
data_ScTaPb3
_chemical_formula_sum 'Sc1 Ta1 Pb3'
_cell_length_a 5.471
_cell_length_b 5.471
_cell_length_c 5.471
_cell_angle_alpha 90.00
_cell_angle_beta 90.00
_cell_angle_gamma 90.00
_symmetry_space_group_name_H-M 'P m -3 m'
_symmetry_Int_Tables_number 221
_symmetry_space_group_name_Hall '-P 4 2 3'
loop_
_atom_site_label
_atom_site_type_symbol
_atom_site_fract_x
_atom_site_fract_y
_atom_site_fract_z
_atom_site_occupancy
Sc1 Sc 0.000 0.000 0.000 1
Ta1 Ta 0.500 0.500 0.500 1
Pb1 Pb 0.000 0.500 0.500 1
```

(9)
Compound: ScTa3Pb
Source: the Alexandria database
Functional: PBE
Structure: optimized geometry

Computed properties:
* D(E_F): 0.883 states/eV/atom
* E: -36.8 eV/f.u.
* calculated formation energy: 170.5 kJ per mole of atoms

Geometry as CIF:
```
data_ScTa3Pb
_chemical_formula_sum 'Sc1 Ta3 Pb1'
_cell_length_a 4.827
_cell_length_b 4.827
_cell_length_c 4.827
_cell_angle_alpha 90.00
_cell_angle_beta 90.00
_cell_angle_gamma 90.00
_symmetry_space_group_name_H-M 'P m -3 m'
_symmetry_Int_Tables_number 221
_symmetry_space_group_name_Hall '-P 4 2 3'
loop_
_atom_site_label
_atom_site_type_symbol
_atom_site_fract_x
_atom_site_fract_y
_atom_site_fract_z
_atom_site_occupancy
Sc1 Sc 0.000 0.000 0.000 1
Ta1 Ta 0.000 0.000 0.500 1
Pb1 Pb 0.500 0.500 0.500 1
```

(10)
Compound: ScTaPb2
Source: the Alexandria database
Functional: PBE
Structure: optimized geometry

Computed properties:
* D(E_F): 0.739 states/eV/atom
* E: -24.9 eV/f.u.
* calculated formation energy: 16.4 kJ per mole of atoms

Geometry as CIF:
```
data_ScTaPb2
_chemical_formula_sum 'Sc2 Ta2 Pb4'
_cell_length_a 4.234
_cell_length_b 4.522
_cell_length_c 11.142
_cell_angle_alpha 90.00
_cell_angle_beta 90.00
_cell_angle_gamma 90.00
_symmetry_space_group_name_H-M 'C m m 2'
_symmetry_Int_Tables_number 35
loop_
_symmetry_equiv_pos_as_xyz
'x,y,z'
'-x,-y,z'
'-x,y,z'
'x,-y,z'
'x+1/2,y+1/2,z'
'-x+1/2,-y+1/2,z'
'-x+1/2,y+1/2,z'
'x+1/2,-y+1/2,z'
loop_
_atom_site_label
_atom_site_type_symbol
_atom_site_fract_x
_atom_site_fract_y
_atom_site_fract_z
_atom_site_occupancy
Sc1 Sc 0.000 0.000 0.000 1
Ta1 Ta 0.000 0.500 0.812 1
Pb1 Pb 0.000 0.000 0.589 1
Pb2 Pb 0.000 0.500 0.239 1
```

(11)
Compound: ScTaPb2
Source: the Alexandria database
Functional: PBE
Structure: optimized geometry

Computed properties:
* D(E_F): 0.713 states/eV/atom
* E: -24.7 eV/f.u.
* calculated formation energy: 21.4 kJ per mole of atoms

Geometry as CIF:
```
data_ScTaPb2
_chemical_formula_sum 'Sc2 Ta2 Pb4'
_cell_length_a 4.030
_cell_length_b 5.223
_cell_length_c 8.804
_cell_angle_alpha 90.00
_cell_angle_beta 90.00
_cell_angle_gamma 90.00
_symmetry_space_group_name_H-M 'C m m m'
_symmetry_Int_Tables_number 65
_symmetry_space_group_name_Hall '-C 2 2'
loop_
_atom_site_label
_atom_site_type_symbol
_atom_site_fract_x
_atom_site_fract_y
_atom_site_fract_z
_atom_site_occupancy
Sc1 Sc 0.000 0.000 0.000 1
Ta1 Ta 0.000 0.000 0.500 1
Pb1 Pb 0.000 0.500 0.256 1
```

(12)
Compound: ScTaPb2
Source: the Alexandria database
Functional: PBE
Structure: optimized geometry

Computed properties:
* D(E_F): 0.816 states/eV/atom
* E: -24.5 eV/f.u.
* calculated formation energy: 26.6 kJ per mole of atoms

Geometry as CIF:
```
data_ScTaPb2
_chemical_formula_sum 'Sc2 Ta2 Pb4'
_cell_length_a 6.524
_cell_length_b 8.428
_cell_length_c 3.308
_cell_angle_alpha 90.00
_cell_angle_beta 90.00
_cell_angle_gamma 90.00
_symmetry_space_group_name_H-M 'C m m m'
_symmetry_Int_Tables_number 65
_symmetry_space_group_name_Hall '-C 2 2'
loop_
_atom_site_label
_atom_site_type_symbol
_atom_site_fract_x
_atom_site_fract_y
_atom_site_fract_z
_atom_site_occupancy
Sc1 Sc 0.000 0.000 0.000 1
Ta1 Ta 0.000 0.500 0.000 1
Pb1 Pb 0.250 0.250 0.500 1
```

(13)
Compound: Tb3Sc2Pb3
Source: the Alexandria database
Functional: PBE
Structure: optimized geometry

Computed properties:
* D(E_F): 0.710 states/eV/atom
* E: -41.9 eV/f.u.
* calculated formation energy: -51.3 kJ per mole of atoms

Geometry as CIF:
```
data_Tb3Sc2Pb3
_chemical_formula_sum 'Tb6 Sc4 Pb6'
_cell_length_a 8.9171
_cell_length_b 8.9171
_cell_length_c 6.3837
_cell_angle_alpha 90.00
_cell_angle_beta 90.00
_cell_angle_gamma 120.00
_symmetry_space_group_name_H-M 'P 63/m c m'
_symmetry_Int_Tables_number 193
_symmetry_space_group_name_Hall '-P 6c 2'
loop_
_atom_site_label
_atom_site_type_symbol
_atom_site_fract_x
_atom_site_fract_y
_atom_site_fract_z
_atom_site_occupancy
Tb1 Tb 0.0000 0.2382 0.2500 1
Sc1 Sc 0.3333 0.6667 0.0000 1
Pb1 Pb 0.0000 0.4002 0.7500 1
```

(14)
Compound: Tb2ScPb2
Source: the Alexandria database
Functional: PBE
Structure: optimized geometry

Computed properties:
* D(E_F): 0.751 states/eV/atom
* E: -25.3 eV/f.u.
* calculated formation energy: -43.3 kJ per mole of atoms

Geometry as CIF:
```
data_Tb2ScPb2
_chemical_formula_sum 'Tb8 Sc4 Pb8'
_cell_length_a 4.985
_cell_length_b 17.696
_cell_length_c 6.470
_cell_angle_alpha 90.00
_cell_angle_beta 90.00
_cell_angle_gamma 90.00
_symmetry_space_group_name_H-M 'C m c m'
_symmetry_Int_Tables_number 63
_symmetry_space_group_name_Hall '-C 2c 2'
loop_
_atom_site_label
_atom_site_type_symbol
_atom_site_fract_x
_atom_site_fract_y
_atom_site_fract_z
_atom_site_occupancy
Tb1 Tb 0.000 0.000 0.000 1
Tb2 Tb 0.000 0.195 0.250 1
Sc1 Sc 0.000 0.399 0.250 1
Pb1 Pb 0.000 0.185 0.750 1
Pb2 Pb 0.000 0.422 0.750 1
```